[1]
A relaxed K4Mg2H16S4O23 crystal, computed with PBE-GGA.

```
49
Lattice="-6.692 -1.730 -3.165 2.239 -3.221 -6.530 -0.207 -9.364 4.067" Properties=species:S:1:pos:R:3 pbc="T T T"
K -0.779 -10.431 -4.274
K -5.121 -10.083 -2.762
K 0.452 -4.478 -2.884
K -3.456 -3.545 -1.464
Mg 2.022 -12.318 -2.574
Mg -2.378 -7.128 -2.766
H -4.296 -6.628 -8.178
H -4.008 -11.363 -6.109
H -0.657 -6.866 -4.796
H -0.518 -3.290 -6.153
H -1.523 -5.564 -4.994
H -0.235 -11.340 -1.303
H 0.226 -7.883 -2.346
H -0.720 -8.885 -1.544
H -3.950 -5.196 -4.054
H -4.913 -6.049 -3.149
H -4.442 -2.653 -4.402
H -3.175 -8.564 -0.587
H -4.105 -10.716 0.450
H -4.219 -7.397 -0.630
H -0.210 -2.625 0.274
H -0.266 -6.954 2.276
S -3.480 -8.758 -5.455
S -3.344 -4.539 -6.643
S -1.447 -10.301 0.913
S -1.081 -5.378 -0.034
O -4.571 -12.131 -6.467
O -3.949 -13.187 -3.821
O -3.629 -5.997 -6.786
O -5.009 -8.808 -5.383
O -1.877 -4.396 -6.376
O 0.017 -12.006 -2.007
O -3.003 -10.191 -5.866
O -3.021 -8.682 -3.962
O -1.197 -6.192 -4.298
O -0.684 -8.309 -2.352
O -4.124 -4.029 -5.468
O -1.386 -2.376 -2.874
O -3.967 -5.746 -3.226
O -3.582 -7.909 -1.217
O -4.894 -11.319 0.324
O -1.547 -5.626 -1.441
O 0.022 -4.358 -0.098
O -2.802 -9.684 0.674
O -0.596 -6.638 0.579
O -0.602 -10.088 -0.314
O -0.791 -9.581 2.032
O -2.229 -4.838 0.741
O 1.974 -4.917 -5.914
```

E_tot   -264.518 eV per formula unit

---

[2]
A relaxed KMgH5Se2O10 crystal, computed with PBE-GGA.

```
19
Lattice="-1.517 1.091 -4.400 -2.686 -5.423 0.748 -5.227 5.554 4.218" Properties=species:S:1:pos:R:3 pbc="T T T"
K -2.621 2.745 1.990
Mg -0.034 -0.009 0.016
H -6.665 3.919 -0.297
H -2.725 -2.703 0.969
H -6.477 4.340 1.248
H -3.030 -3.028 -0.578
H -4.853 0.503 0.388
Se -6.356 0.901 2.120
Se -3.094 0.344 -1.478
O -5.688 -0.038 0.812
O -3.735 1.202 -0.180
O -6.413 4.655 0.321
O -2.966 -3.421 0.313
O -5.145 1.883 2.661
O -4.273 -0.669 -2.068
O -6.818 -0.266 3.210
O -2.614 1.479 -2.616
O -7.646 1.803 1.583
O -1.764 -0.588 -1.048
```

E_tot   -98.754 eV per formula unit

---

[3]
A relaxed K2MgH6Os crystal, computed with PBE-GGA.

```
10
Lattice="-2.013 2.290 -3.981 -1.321 -5.240 -2.347 -3.871 2.712 3.518" Properties=species:S:1:pos:R:3 pbc="T T T"
K -3.392 0.485 0.828
K -3.812 -0.722 -3.638
Mg -1.006 1.145 -1.990
H -2.896 1.869 -2.541
H -5.131 3.434 -0.511
H -5.893 0.409 -1.866
H -2.074 -3.672 -2.299
H -1.311 -0.647 -0.944
H -4.308 -2.106 -0.268
Os 0.000 0.000 0.000
```

E_tot   -38.298 eV per formula unit

---

[4]
A relaxed K3Mg2H9Pb crystal, computed with PBE-GGA.

```
15
Lattice="5.881 0.000 0.000 -2.941 5.093 0.000 0.000 0.000 7.381" Properties=species:S:1:pos:R:3 pbc="T T T"
K 0.000 3.396 5.008
K 0.000 0.000 0.000
K 2.941 1.698 2.374
Mg 0.000 3.396 1.119
Mg 2.941 1.698 6.262
H 4.320 0.901 5.094
H 2.941 3.291 5.094
H 1.561 0.901 5.094
H 1.380 4.192 2.287
H 0.000 1.802 2.287
H -1.380 4.192 2.287
H 2.941 0.000 0.000
H -1.470 2.547 0.000
H 1.470 2.547 0.000
Pb 0.000 0.000 3.691
```

E_tot   -42.295 eV per formula unit